(1)
Below is a geometry-optimized Be2SbP structure, with properties calculated at the PBE level.

The volume is 60.7 Å³/cell. For the offset from the most stable computed form, the calculation gives 0.447 eV/atom. The formation energy (no corrections) comes out at 190 kJ/mol of formula units. Its total magnetization is 0.00 μB per atom.

The space group is P4/mmm (No. 123) and the conventional cell measures 3.1045, 3.1045 and 6.3013 Å, with angles of 90.00, 90.00 and 90.00 degrees. Symmetry generates all atoms from Be at (0.0000, 0.0000, 0.1627), Sb at (0.5000, 0.5000, 0.5000) and P at (0.5000, 0.5000, 0.0000).

---

(2)
Below is a geometry-optimized Cd2InSnPb structure, with properties calculated at the PBE level.

Its energy relative to the elements is 0.094 eV per atom. The volume is 561.9 Å³/cell. Its total magnetization is 0.00 μB per atom.

The space group is Cmcm (No. 63) and the conventional cell measures 6.5662, 13.2524 and 6.4574 Å, with angles of 90.00, 90.00 and 90.00 degrees. Symmetry generates all atoms from Cd at (0.2400, 0.0000, 0.0000), In at (0.0000, 0.1467, 0.2500), Sn at (0.0000, 0.3612, 0.2500) and Pb at (0.0000, 0.2665, 0.7500).

---

(3)
Below is a geometry-optimized K2VSnSe4 structure, with properties calculated at the PBE level.

The volume is 531.1 Å³/cell. The formation energy (no corrections) comes out at -636 kJ/mol of formula units. Its total magnetization is 0.12 μB per atom.

The space group is P-1 (No. 2) and the conventional cell measures 7.0713, 7.7935 and 10.3079 Å, with angles of 89.61, 89.52 and 69.21 degrees. Symmetry generates all atoms from K at (0.0035, 0.2553, 0.3822), K at (0.4955, 0.7549, 0.8671), V at (0.4976, 0.7465, 0.2564), Sn at (0.0015, 0.2524, 0.8229), Se at (0.2467, 0.9663, 0.1322), Se at (0.2513, 0.4666, 0.8723), Se at (0.3026, 0.5820, 0.3552) and Se at (0.3077, 0.0939, 0.6431).

---

(4)
Below is a geometry-optimized PrIn9Rh2 structure, with properties calculated at the PBE level.

Its energy relative to the elements is -0.167 eV per atom. The volume is 1115.4 Å³/cell. Its total magnetization is 0.00 μB per atom.

The space group is I4_1/amd (No. 141, origin choice 2) and the conventional cell measures 12.3268, 12.3268 and 7.3404 Å, with angles of 90.00, 90.00 and 90.00 degrees. Symmetry generates all atoms from Pr at (0.0000, 0.2500, 0.3750), In at (0.0000, 0.2500, 0.8750), In at (0.1200, 0.0646, 0.6739) and Rh at (0.0000, 0.0000, 0.0000).

---

(5)
Below is a geometry-optimized YGa3CoTc structure, with properties calculated at the PBE level.

Its energy relative to the elements is -0.178 eV per atom. The volume is 456.5 Å³/cell. Its total magnetization is 0.00 μB per atom.

The space group is Cmcm (No. 63) and the conventional cell measures 7.6281, 10.4218 and 5.7418 Å, with angles of 90.00, 90.00 and 90.00 degrees. Symmetry generates all atoms from Y at (0.0000, 0.2193, 0.2500), Ga at (0.0000, 0.3026, 0.7500), Ga at (0.2473, 0.5000, 0.0000), Co at (0.0000, 0.4770, 0.2500) and Tc at (0.0000, 0.0735, 0.7500).

---

(6)
Below is a geometry-optimized Pr2Dy6Tm3Pu structure, with properties calculated at the PBE level.

Its energy relative to the elements is 0.054 eV per atom. The volume is 756.0 Å³/cell. Its total magnetization is 0.52 μB per atom.

The space group is C2/m (No. 12) and the conventional cell measures 6.1463, 10.6562 and 11.7255 Å, with angles of 90.00, 100.12 and 90.00 degrees. Symmetry generates all atoms from Pr at (0.0000, 0.1665, 0.0000), Dy at (0.2448, 0.5000, 0.7467), Dy at (0.2488, 0.3355, 0.2532), Tm at (0.0000, 0.0000, 0.5000), Tm at (0.0000, 0.3333, 0.5000) and Pu at (0.0000, 0.5000, 0.0000).